# meta-GGA SCAN Cr2SiMo, PBEsol geometry
data_Cr2SiMo
_cell_length_a 2.648
_cell_length_b 2.648
_cell_length_c 7.103
_cell_angle_alpha 90.00
_cell_angle_beta 90.00
_cell_angle_gamma 90.00
_symmetry_space_group_name_H-M 'P 4/m m m'
_symmetry_Int_Tables_number 123
_symmetry_space_group_name_Hall '-P 4 2'
loop_
_atom_site_label
_atom_site_fract_x
_atom_site_fract_y
_atom_site_fract_z
Cr1 0.000 0.000 0.224
Si1 0.500 0.500 0.000
Mo1 0.500 0.500 0.500
# ΔE_f (raw), eV per atom: 0.14
# Uncorrected energy, eV for the cell shown: -81.11